VASP calculation (PBE) on an optimized crystal structure of NaSiIrPb.

Cell lengths 4.6773, 4.6773, 4.6773 Å; angles 60.00, 60.00, 60.00 degrees
Last column: nearest neighbours and their distance in Å.
Positions (direct):
Na 0.0000 0.0000 0.0000  4 Si 2.86, 4 Pb 2.86
Si 0.7500 0.7500 0.7500  4 Na 2.86, 4 Ir 2.86
Ir 0.5000 0.5000 0.5000  4 Pb 2.86, 4 Si 2.86
Pb 0.2500 0.2500 0.2500  4 Na 2.86, 4 Ir 2.86

Results
- E_tot (eV/cell) = -18.48

---

VASP calculation (PBE) on an optimized crystal structure of SmInB4.

Cell lengths 5.2506, 5.2506, 5.2506 Å; angles 144.00, 118.52, 73.36 degrees
Last column: nearest neighbours and their distance in Å.
Positions (direct):
Sm 0.0000 0.0000 0.0000  12 B 2.76-2.80
In 0.5000 0.5000 0.0000  12 B 2.67-2.88
B 0.0663 0.7400 0.3262  3 B 1.83-1.87
B 0.4138 0.7400 0.6738  3 B 1.83-1.87
B 0.5862 0.2600 0.3262  3 B 1.83-1.87
B 0.9337 0.2600 0.6738  3 B 1.83-1.87

Results
- E_tot (eV/cell) = -34.42

---

VASP calculation (PBE) on an optimized crystal structure of LuHfPbC.

Cell lengths 3.4421, 3.4421, 15.2015 Å; angles 90.00, 90.00, 120.00 degrees
Last column: nearest neighbours and their distance in Å.
Positions (direct):
Lu 0.3333 0.6667 0.0000  3 C 2.41
Lu 0.6667 0.3333 0.5000  3 C 2.41
Hf 0.3333 0.6667 0.6638  3 C 2.29
Hf 0.6667 0.3333 0.1638  3 C 2.29
Pb 0.3333 0.6667 0.3274  3 Hf 3.18, 3 Lu 3.29, 6 Pb 3.44
Pb 0.6667 0.3333 0.8274  3 Hf 3.18, 3 Lu 3.29, 6 Pb 3.44
C 0.0000 0.0000 0.0896  3 Hf 2.29, 3 Lu 2.41
C 0.0000 0.0000 0.5896  3 Hf 2.29, 3 Lu 2.41

Results
- E_tot (eV/cell) = -59.72

---

VASP calculation (PBE) on an optimized crystal structure of KHoBi.

Cell lengths 5.4279, 5.4279, 5.4279 Å; angles 60.00, 60.00, 60.00 degrees
Last column: nearest neighbours and their distance in Å.
Positions (direct):
K 0.0000 0.0000 0.0000  4 Bi 3.32
Ho 0.5000 0.5000 0.5000  4 Bi 3.32
Bi 0.7500 0.7500 0.7500  4 Ho 3.32, 4 K 3.32

Results
- E_tot (eV/cell) = -10.12

---

VASP calculation (PBE) on an optimized crystal structure of NdSi2PtAu.

Cell lengths 4.3214, 4.3214, 10.0129 Å; angles 90.00, 90.00, 90.00 degrees
Last column: nearest neighbours and their distance in Å.
Positions (direct):
Nd 0.2500 0.2500 0.2421  8 Si 3.25-3.26, 5 Pt 3.31-3.57, 4 Au 3.37
Nd 0.7500 0.7500 0.7579  8 Si 3.25-3.26, 5 Pt 3.31-3.57, 4 Au 3.37
Si 0.2500 0.2500 0.6454  1 Pt 2.41, 4 Au 2.61
Si 0.2500 0.7500 0.0000  4 Pt 2.45
Si 0.7500 0.2500 0.0000  4 Pt 2.45
Si 0.7500 0.7500 0.3546  1 Pt 2.41, 4 Au 2.61
Pt 0.2500 0.2500 0.8857  5 Si 2.41-2.45
Pt 0.7500 0.7500 0.1143  5 Si 2.41-2.45
Au 0.2500 0.7500 0.5000  4 Si 2.61
Au 0.7500 0.2500 0.5000  4 Si 2.61

Results
- E_tot (eV/cell) = -59.03

---

VASP calculation (PBE) on an optimized crystal structure of LiSiTc2.

Cell lengths 4.1929, 4.1929, 4.1929 Å; angles 60.00, 60.00, 60.00 degrees
Last column: nearest neighbours and their distance in Å.
Positions (direct):
Li 0.0000 0.0000 0.0000  4 Tc 2.57, 4 Si 2.57
Si 0.7500 0.7500 0.7500  4 Tc 2.57, 4 Li 2.57
Tc 0.2500 0.2500 0.2500  4 Tc 2.57, 4 Li 2.57
Tc 0.5000 0.5000 0.5000  4 Tc 2.57, 4 Si 2.57

Results
- E_tot (eV/cell) = -29.18

---

VASP calculation (PBE) on an optimized crystal structure of Nd2Zn15Ag2.

Cell lengths 6.8692, 6.8692, 6.8692 Å; angles 82.80, 82.80, 82.80 degrees
Last column: nearest neighbours and their distance in Å.
Positions (direct):
Nd 0.1591 0.1591 0.1591  1 Ag 3.13, 18 Zn 3.20-3.50
Nd 0.8409 0.8409 0.8409  1 Ag 3.13, 18 Zn 3.20-3.50
Zn 0.0000 0.5000 0.5000  8 Zn 2.61-2.66, 2 Ag 2.75
Zn 0.1486 0.1486 0.6616  8 Zn 2.58-2.77, 1 Ag 2.87
Zn 0.1486 0.6616 0.1486  8 Zn 2.58-2.77, 1 Ag 2.87
Zn 0.2063 0.5000 0.7937  8 Zn 2.61-2.77
Zn 0.2063 0.7937 0.5000  8 Zn 2.61-2.77
Zn 0.3384 0.8514 0.8514  8 Zn 2.58-2.77, 1 Ag 2.87
Zn 0.5000 0.0000 0.5000  8 Zn 2.61-2.66, 2 Ag 2.75
Zn 0.5000 0.2063 0.7937  8 Zn 2.61-2.77
Zn 0.5000 0.5000 0.0000  8 Zn 2.61-2.66, 2 Ag 2.75
Zn 0.5000 0.7937 0.2063  8 Zn 2.61-2.77
Zn 0.6616 0.1486 0.1486  8 Zn 2.58-2.77, 1 Ag 2.87
Zn 0.7937 0.2063 0.5000  8 Zn 2.61-2.77
Zn 0.7937 0.5000 0.2063  8 Zn 2.61-2.77
Zn 0.8514 0.3384 0.8514  8 Zn 2.58-2.77, 1 Ag 2.87
Zn 0.8514 0.8514 0.3384  8 Zn 2.58-2.77, 1 Ag 2.87
Ag 0.3943 0.3943 0.3943  12 Zn 2.75-3.02, 1 Ag 2.81
Ag 0.6057 0.6057 0.6057  12 Zn 2.75-3.02, 1 Ag 2.81

Results
- energy of formation from the pure elements (eV/atom) = -0.254
- E_tot (eV/cell) = -38.97

---

VASP calculation (PBE) on an optimized crystal structure of Al3B4IrO12.

Cell lengths 5.8104, 5.8104, 5.8104 Å; angles 104.83, 104.83, 104.83 degrees
Last column: nearest neighbours and their distance in Å.
Positions (direct):
Al 0.0000 0.4409 0.5591  6 O 1.87-1.89
Al 0.4409 0.5591 0.0000  6 O 1.87-1.89
Al 0.5591 0.0000 0.4409  6 O 1.87-1.89
B 0.0553 0.9447 0.5000  3 O 1.35-1.40
B 0.5000 0.0553 0.9447  3 O 1.35-1.40
B 0.5000 0.5000 0.5000  3 O 1.37
B 0.9447 0.5000 0.0553  3 O 1.35-1.40
Ir 0.0000 0.0000 0.0000  6 O 2.23
O 0.0412 0.7858 0.6440  1 B 1.40
O 0.0914 0.5000 0.9086  1 B 1.35
O 0.2142 0.9588 0.3560  1 B 1.40
O 0.3511 0.5000 0.6489  1 B 1.37
O 0.3560 0.2142 0.9588  1 B 1.40
O 0.5000 0.6489 0.3511  1 B 1.37
O 0.5000 0.9086 0.0914  1 B 1.35
O 0.6440 0.0412 0.7858  1 B 1.40
O 0.6489 0.3511 0.5000  1 B 1.37
O 0.7858 0.6441 0.0412  1 B 1.40
O 0.9086 0.0914 0.5000  1 B 1.35
O 0.9588 0.3560 0.2142  1 B 1.40

Results
- E_tot (eV/cell) = -151.11

---

VASP calculation (PBE) on an optimized crystal structure of Hf2In2Cu2NiPd.

Cell lengths 4.5247, 4.5247, 6.4447 Å; angles 90.00, 90.00, 90.00 degrees
Last column: nearest neighbours and their distance in Å.
Positions (direct):
Hf 0.0000 0.5000 0.2390  2 Ni 2.74, 4 Cu 2.74-2.82, 2 Pd 2.82
Hf 0.5000 0.0000 0.7610  2 Ni 2.74, 4 Cu 2.74-2.82, 2 Pd 2.82
In 0.0000 0.5000 0.7556  2 Ni 2.76, 4 Cu 2.76-2.80, 2 Pd 2.80
In 0.5000 0.0000 0.2444  2 Ni 2.76, 4 Cu 2.76-2.80, 2 Pd 2.80
Cu 0.0000 0.0000 0.0000  4 Hf 2.74, 4 In 2.76
Cu 0.5000 0.5000 0.5000  4 In 2.80, 4 Hf 2.82
Ni 0.5000 0.5000 0.0000  4 Hf 2.74, 4 In 2.76
Pd 0.0000 0.0000 0.5000  4 In 2.80, 4 Hf 2.82

Results
- E_tot (eV/cell) = -46.57

---

VASP calculation (PBE) on an optimized crystal structure of LiGaPdPt.

Cell lengths 4.2824, 4.2824, 4.2824 Å; angles 60.00, 60.00, 60.00 degrees
Last column: nearest neighbours and their distance in Å.
Positions (direct):
Li 0.0000 0.0000 0.0000  4 Pd 2.62, 4 Pt 2.62
Ga 0.5000 0.5000 0.5000  4 Pt 2.62, 4 Pd 2.62
Pd 0.2500 0.2500 0.2500  4 Li 2.62, 4 Ga 2.62
Pt 0.7500 0.7500 0.7500  4 Li 2.62, 4 Ga 2.62

Results
- E_tot (eV/cell) = -19.09

---

VASP calculation (PBE) on an optimized crystal structure of YFeOs.

Cell lengths 5.2786, 5.2786, 5.2786 Å; angles 120.72, 120.27, 89.15 degrees
Last column: nearest neighbours and their distance in Å.
Positions (direct):
Y 0.3728 0.1228 0.2500  6 Fe 3.07-3.13, 6 Os 3.09, 4 Y 3.21-3.24
Y 0.6272 0.8772 0.7500  6 Fe 3.07-3.13, 6 Os 3.09, 4 Y 3.21-3.24
Fe 0.0000 0.5000 0.5000  2 Fe 2.63, 4 Os 2.64
Fe 0.5000 0.5000 0.0000  2 Fe 2.63, 4 Os 2.64
Os 0.0000 0.0000 0.5000  2 Os 2.61, 4 Fe 2.64
Os 0.0000 0.5000 0.0000  2 Os 2.61, 4 Fe 2.64

Results
- energy of formation from the pure elements (eV/atom) = -0.227
- E_tot (eV/cell) = -53.36

---

VASP calculation (PBE) on an optimized crystal structure of Pr2Dy2CI2Br3.

Cell lengths 9.4380, 9.4380, 8.3945 Å; angles 101.87, 101.87, 23.98 degrees
Last column: nearest neighbours and their distance in Å.
Positions (direct):
Pr 0.1404 0.1404 0.0660  1 C 2.53
Pr 0.8596 0.8596 0.9340  1 C 2.53
Dy 0.4980 0.4980 0.1962  2 C 2.57
Dy 0.5020 0.5020 0.8038  2 C 2.57
C 0.0000 0.0000 0.0000  2 Pr 2.53, 4 Dy 2.57
I 0.3368 0.3368 0.6366  1 Dy 3.08, 2 Pr 3.13
I 0.6632 0.6632 0.3634  1 Dy 3.08, 2 Pr 3.13
Br 0.0000 0.0000 0.5000  4 Dy 3.21
Br 0.3361 0.3361 0.1899  1 Dy 2.98, 2 Pr 3.01
Br 0.6639 0.6639 0.8101  1 Dy 2.98, 2 Pr 3.01

Results
- E_tot (eV/cell) = -48.84